## one
# Pa2GeBi

A relaxed structure of Pa2GeBi (PBE-GGA, Alexandria via LeMat-Bulk).

Computed properties:
As for the spin magnetization: 1.31 Bohr magnetons per cell.

Unit cell a=3.6448 b=3.6448 c=7.5012 alpha=90.00 beta=90.00 gamma=90.00
With the nearest neighbours (Å) after each atom.
Fractional coordinates of all 4 atoms:
Ge  0.5000  0.5000  0.0000  8 Pa 3.07
Pa  0.0000  0.0000  0.7764  4 Ge 3.07, 4 Bi 3.31, 1 Pa 3.35
Pa  0.0000  0.0000  0.2236  4 Ge 3.07, 4 Bi 3.31, 1 Pa 3.35
Bi  0.5000  0.5000  0.5000  8 Pa 3.31, 4 Bi 3.64

## two
# Pa2GeBi

A relaxed structure of Pa2GeBi (PBE-GGA, Alexandria via LeMat-Bulk).

Computed properties:
As for the spin magnetization: 0.06 Bohr magnetons per cell.

Unit cell a=3.6000 b=3.6000 c=8.1423 alpha=95.08 beta=95.08 gamma=78.23
With the nearest neighbours (Å) after each atom.
Fractional coordinates of all 4 atoms:
Pa  0.9534  0.9534  0.7186  3 Ge 2.92-2.93, 2 Bi 3.22
Pa  0.0466  0.0466  0.2814  3 Ge 2.92-2.93, 2 Bi 3.22
Ge  0.5000  0.5000  0.5000  6 Pa 2.92-2.93
Bi  0.5000  0.5000  0.0000  4 Pa 3.22, 4 Bi 3.60

## three
# Pa2GeBi

A relaxed structure of Pa2GeBi (PBE-GGA, Alexandria via LeMat-Bulk).

Computed properties:
As for the spin magnetization: 0.92 Bohr magnetons per cell.

Unit cell a=4.1165 b=4.1165 c=8.0209 alpha=75.13 beta=75.13 gamma=60.00
With the nearest neighbours (Å) after each atom.
Fractional coordinates of all 4 atoms:
Pa  0.0714  0.0714  0.7859  3 Ge 2.87, 3 Bi 3.21
Pa  0.2618  0.2618  0.2146  3 Ge 2.91, 3 Bi 3.25
Ge  0.6679  0.6679  0.9963  6 Pa 2.87-2.91
Bi  0.4989  0.4989  0.5033  6 Pa 3.21-3.25

Which structure wins on stability? two wins.

## one
# GeBiPb2

A relaxed structure of GeBiPb2 (PBE-GGA, Alexandria via LeMat-Bulk).

Computed properties:
As for the spin magnetization: 0.00 Bohr magnetons per cell.

Unit cell a=4.9886 b=4.8359 c=4.8359 alpha=90.00 beta=90.00 gamma=90.00
With the nearest neighbours (Å) after each atom.
Fractional coordinates of all 4 atoms:
Pb  0.0000  0.0000  0.5000  4 Pb 3.42, 4 Ge 3.47, 4 Bi 3.47
Pb  0.0000  0.5000  0.0000  4 Pb 3.42, 4 Ge 3.47, 4 Bi 3.47
Ge  0.5000  0.0000  0.0000  4 Bi 3.42, 8 Pb 3.47
Bi  0.5000  0.5000  0.5000  4 Ge 3.42, 8 Pb 3.47

## two
# GeBiPb2

A relaxed structure of GeBiPb2 (PBE-GGA, Alexandria via LeMat-Bulk).

Computed properties:
As for the spin magnetization: 0.00 Bohr magnetons per cell.

Unit cell a=3.4580 b=3.4580 c=9.7269 alpha=90.00 beta=90.00 gamma=90.00
With the nearest neighbours (Å) after each atom.
Fractional coordinates of all 4 atoms:
Pb  0.0000  0.0000  0.7826  4 Ge 3.23, 4 Pb 3.46
Pb  0.0000  0.0000  0.2174  4 Ge 3.23, 4 Pb 3.46
Ge  0.5000  0.5000  0.0000  8 Pb 3.23, 4 Ge 3.46
Bi  0.5000  0.5000  0.5000  4 Bi 3.46, 8 Pb 3.68

## three
# GeBiPb2

A relaxed structure of GeBiPb2 (PBE-GGA, Alexandria via LeMat-Bulk).

Computed properties:
As for the spin magnetization: 0.00 Bohr magnetons per cell.

Unit cell a=5.4442 b=5.4442 c=5.4442 alpha=60.00 beta=60.00 gamma=60.00
With the nearest neighbours (Å) after each atom.
Fractional coordinates of all 4 atoms:
Pb  0.2500  0.2500  0.2500  4 Ge 3.33, 4 Bi 3.33
Pb  0.7500  0.7500  0.7500  4 Ge 3.33, 4 Bi 3.33
Ge  0.5000  0.5000  0.5000  8 Pb 3.33
Bi  0.0000  0.0000  0.0000  8 Pb 3.33

## four
# GeBiPb2

A relaxed structure of GeBiPb2 (PBE-GGA, Alexandria via LeMat-Bulk).

Computed properties:
As for the spin magnetization: 0.00 Bohr magnetons per cell.

Unit cell a=3.3633 b=3.3633 c=12.4176 alpha=82.22 beta=82.22 gamma=60.00
With the nearest neighbours (Å) after each atom.
Fractional coordinates of all 4 atoms:
Pb  0.0816  0.0816  0.7553  1 Ge 3.00
Pb  0.9184  0.9184  0.2447  1 Ge 3.00
Ge  0.0000  0.0000  0.0000  2 Pb 3.00
Bi  0.5000  0.5000  0.5000  6 Bi 3.36, 6 Pb 3.68

Which structure wins on stability? two wins.

## one
# GeBiPb2

A relaxed structure of GeBiPb2 (PBE-GGA, Alexandria via LeMat-Bulk).

Computed properties:
As for the spin magnetization: 0.00 Bohr magnetons per cell.

Unit cell a=6.8230 b=6.8230 c=8.3786 alpha=65.97 beta=65.97 gamma=90.00
With the nearest neighbours (Å) after each atom.
Fractional coordinates of all 8 atoms:
Pb  0.5909  0.1250  0.2500  2 Ge 2.83, 2 Bi 3.10
Pb  0.1591  0.6250  0.2500  2 Ge 2.83, 2 Bi 3.10
Pb  0.3750  0.4091  0.7500  2 Ge 2.83, 2 Bi 3.10
Pb  0.8750  0.8409  0.7500  2 Ge 2.83, 2 Bi 3.10
Ge  0.5000  0.5000  0.0000  4 Pb 2.83
Ge  0.2500  0.7500  0.5000  4 Pb 2.83
Bi  0.0000  0.0000  0.0000  4 Pb 3.10
Bi  0.7500  0.2500  0.5000  4 Pb 3.10

## two
# GeBiPb2

A relaxed structure of GeBiPb2 (PBE-GGA, Alexandria via LeMat-Bulk).

Computed properties:
As for the spin magnetization: 0.00 Bohr magnetons per cell.

Unit cell a=5.0933 b=5.0933 c=6.4473 alpha=66.73 beta=66.73 gamma=60.00
With the nearest neighbours (Å) after each atom.
Fractional coordinates of all 4 atoms:
Ge  0.6671  0.6671  0.9986  1 Bi 2.89, 6 Pb 3.16
Bi  0.4995  0.4995  0.5016  1 Ge 2.89
Pb  0.0669  0.0669  0.7992  3 Ge 3.16, 3 Bi 3.40, 1 Pb 3.43
Pb  0.2665  0.2665  0.2006  3 Ge 3.16, 3 Bi 3.41, 1 Pb 3.43

Which structure wins on stability? two wins.

## one
# Ge2Bi2Pb

A relaxed structure of Ge2Bi2Pb (PBE-GGA, Alexandria via LeMat-Bulk).

Computed properties:
As for the spin magnetization: 0.00 Bohr magnetons per cell.

Unit cell a=3.9883 b=3.9883 c=9.2496 alpha=77.55 beta=77.55 gamma=90.00
With the nearest neighbours (Å) after each atom.
Fractional coordinates of all 5 atoms:
Pb  0.0000  0.0000  0.0000  8 Bi 3.41
Ge  0.7500  0.2500  0.5000  4 Ge 2.82
Ge  0.2500  0.7500  0.5000  4 Ge 2.82
Bi  0.3909  0.3909  0.2182  4 Ge 3.18, 4 Pb 3.41
Bi  0.6091  0.6091  0.7818  4 Ge 3.18, 4 Pb 3.41

## two
# Ge2Bi2Pb

A relaxed structure of Ge2Bi2Pb (PBE-GGA, Alexandria via LeMat-Bulk).

Computed properties:
As for the spin magnetization: 0.00 Bohr magnetons per cell.

Unit cell a=5.6628 b=5.6628 c=6.0151 alpha=61.92 beta=61.92 gamma=90.00
With the nearest neighbours (Å) after each atom.
Fractional coordinates of all 5 atoms:
Pb  0.0000  0.0000  0.0000  2 Ge 3.22
Ge  0.3589  0.3589  0.2823  1 Ge 2.53
Ge  0.6411  0.6411  0.7177  1 Ge 2.53
Bi  0.7500  0.2500  0.5000  4 Ge 3.00
Bi  0.2500  0.7500  0.5000  4 Ge 3.00

## three
# Ge2Bi2Pb

A relaxed structure of Ge2Bi2Pb (PBE-GGA, Alexandria via LeMat-Bulk).

Computed properties:
As for the spin magnetization: 0.00 Bohr magnetons per cell.

Unit cell a=8.4268 b=8.4268 c=3.8429 alpha=90.00 beta=90.00 gamma=90.00
With the nearest neighbours (Å) after each atom.
Fractional coordinates of all 10 atoms:
Pb  0.0000  0.0000  0.0000  4 Ge 3.37, 8 Bi 3.67
Pb  0.5000  0.5000  0.0000  4 Ge 3.37, 8 Bi 3.67
Ge  0.3822  0.8822  0.0000  1 Ge 2.81, 4 Bi 3.13
Ge  0.8822  0.6178  0.0000  1 Ge 2.81, 4 Bi 3.13
Ge  0.6178  0.1178  0.0000  1 Ge 2.81, 4 Bi 3.13
Ge  0.1178  0.3822  0.0000  1 Ge 2.81, 4 Bi 3.13
Bi  0.1703  0.6703  0.5000  6 Ge 3.13-3.17
Bi  0.6703  0.8297  0.5000  6 Ge 3.13-3.17
Bi  0.8297  0.3297  0.5000  6 Ge 3.13-3.17
Bi  0.3297  0.1703  0.5000  6 Ge 3.13-3.17

Which structure wins on stability? one wins.

## one
# Ge2BiPb2

A relaxed structure of Ge2BiPb2 (PBE-GGA, Alexandria via LeMat-Bulk).

Computed properties:
As for the spin magnetization: 0.00 Bohr magnetons per cell.

Unit cell a=3.8282 b=3.8282 c=9.9655 alpha=78.93 beta=78.93 gamma=90.00
With the nearest neighbours (Å) after each atom.
Fractional coordinates of all 5 atoms:
Pb  0.3852  0.3852  0.2296  4 Ge 3.22, 4 Bi 3.49
Pb  0.6148  0.6148  0.7704  4 Ge 3.22, 4 Bi 3.49
Ge  0.7500  0.2500  0.5000  4 Ge 2.71
Ge  0.2500  0.7500  0.5000  4 Ge 2.71
Bi  0.0000  0.0000  0.0000  8 Pb 3.49, 4 Bi 3.83

## two
# Ge2BiPb2

A relaxed structure of Ge2BiPb2 (PBE-GGA, Alexandria via LeMat-Bulk).

Computed properties:
As for the spin magnetization: 0.00 Bohr magnetons per cell.

Unit cell a=7.8181 b=7.8181 c=4.5403 alpha=90.00 beta=90.00 gamma=90.00
With the nearest neighbours (Å) after each atom.
Fractional coordinates of all 10 atoms:
Pb  0.1851  0.6851  0.5000  6 Ge 3.15-3.32
Pb  0.6851  0.8149  0.5000  6 Ge 3.15-3.32
Pb  0.8149  0.3149  0.5000  6 Ge 3.15-3.32
Pb  0.3149  0.1851  0.5000  6 Ge 3.15-3.32
Ge  0.3827  0.8827  0.0000  1 Ge 2.59
Ge  0.8827  0.6173  0.0000  1 Ge 2.59
Ge  0.6173  0.1173  0.0000  1 Ge 2.59
Ge  0.1173  0.3827  0.0000  1 Ge 2.59
Bi  0.0000  0.0000  0.0000  4 Ge 3.13
Bi  0.5000  0.5000  0.0000  4 Ge 3.13

## three
# Ge2BiPb2

A relaxed structure of Ge2BiPb2 (PBE-GGA, Alexandria via LeMat-Bulk).

Computed properties:
As for the spin magnetization: 0.00 Bohr magnetons per cell.

Unit cell a=4.6040 b=4.6040 c=7.4913 alpha=72.10 beta=72.10 gamma=90.00
With the nearest neighbours (Å) after each atom.
Fractional coordinates of all 5 atoms:
Pb  0.7500  0.2500  0.5000  4 Ge 3.13, 4 Pb 3.26
Pb  0.2500  0.7500  0.5000  4 Ge 3.13, 4 Pb 3.26
Ge  0.4074  0.4074  0.1851  1 Ge 2.50
Ge  0.5926  0.5926  0.8149  1 Ge 2.50
Bi  0.0000  0.0000  0.0000  8 Ge 3.49

Which structure wins on stability? one wins.

## one
# GeBiPb3

A relaxed structure of GeBiPb3 (PBE-GGA, Alexandria via LeMat-Bulk).

Computed properties:
As for the spin magnetization: 0.00 Bohr magnetons per cell.

Unit cell a=5.5678 b=5.5678 c=5.5678 alpha=90.00 beta=90.00 gamma=90.00
With the nearest neighbours (Å) after each atom.
Fractional coordinates of all 5 atoms:
Pb  0.0000  0.5000  0.0000  2 Ge 2.78
Pb  0.0000  0.0000  0.5000  2 Ge 2.78
Pb  0.5000  0.0000  0.0000  2 Ge 2.78
Ge  0.0000  0.0000  0.0000  6 Pb 2.78
Bi  0.5000  0.5000  0.5000  12 Pb 3.94

## two
# GeBiPb3

A relaxed structure of GeBiPb3 (PBE-GGA, Alexandria via LeMat-Bulk).

Computed properties:
As for the spin magnetization: 0.00 Bohr magnetons per cell.

Unit cell a=5.9942 b=5.9942 c=5.9942 alpha=90.00 beta=90.00 gamma=90.00
With the nearest neighbours (Å) after each atom.
Fractional coordinates of all 5 atoms:
Pb  0.0000  0.5000  0.0000  2 Bi 3.00
Pb  0.0000  0.0000  0.5000  2 Bi 3.00
Pb  0.5000  0.0000  0.0000  2 Bi 3.00
Ge  0.5000  0.5000  0.5000  12 Pb 4.24
Bi  0.0000  0.0000  0.0000  6 Pb 3.00

Which structure wins on stability? one wins.

## one
# Ge2BiPb

A relaxed structure of Ge2BiPb (PBE-GGA, Alexandria via LeMat-Bulk).

Computed properties:
As for the spin magnetization: 0.00 Bohr magnetons per cell.

Unit cell a=6.5433 b=6.5433 c=8.0502 alpha=66.02 beta=66.02 gamma=90.00
With the nearest neighbours (Å) after each atom.
Fractional coordinates of all 8 atoms:
Pb  0.5000  0.5000  0.0000  4 Ge 2.83
Pb  0.2500  0.7500  0.5000  4 Ge 2.83
Ge  0.6216  0.1250  0.2500  2 Pb 2.83, 2 Bi 2.85
Ge  0.1284  0.6250  0.2500  2 Pb 2.83, 2 Bi 2.85
Ge  0.3750  0.3784  0.7500  2 Pb 2.83, 2 Bi 2.85
Ge  0.8750  0.8716  0.7500  2 Pb 2.83, 2 Bi 2.85
Bi  0.0000  0.0000  0.0000  4 Ge 2.85
Bi  0.7500  0.2500  0.5000  4 Ge 2.85

## two
# Ge2BiPb

A relaxed structure of Ge2BiPb (PBE-GGA, Alexandria via LeMat-Bulk).

Computed properties:
As for the spin magnetization: 0.00 Bohr magnetons per cell.

Unit cell a=5.2390 b=5.2390 c=5.2390 alpha=60.00 beta=60.00 gamma=60.00
With the nearest neighbours (Å) after each atom.
Fractional coordinates of all 4 atoms:
Pb  0.0000  0.0000  0.0000  8 Ge 3.21
Ge  0.2500  0.2500  0.2500  4 Bi 3.21, 4 Pb 3.21
Ge  0.7500  0.7500  0.7500  4 Pb 3.21, 4 Bi 3.21
Bi  0.5000  0.5000  0.5000  8 Ge 3.21

Which structure wins on stability? two wins.

## one
# GeBi3Pb

A relaxed structure of GeBi3Pb (PBE-GGA, Alexandria via LeMat-Bulk).

Computed properties:
As for the spin magnetization: 0.00 Bohr magnetons per cell.

Unit cell a=5.8915 b=5.8915 c=5.8915 alpha=90.00 beta=90.00 gamma=90.00
With the nearest neighbours (Å) after each atom.
Fractional coordinates of all 5 atoms:
Pb  0.0000  0.0000  0.0000  6 Bi 2.95
Ge  0.5000  0.5000  0.5000  12 Bi 4.17
Bi  0.0000  0.5000  0.0000  2 Pb 2.95
Bi  0.0000  0.0000  0.5000  2 Pb 2.95
Bi  0.5000  0.0000  0.0000  2 Pb 2.95

## two
# GeBi3Pb

A relaxed structure of GeBi3Pb (PBE-GGA, Alexandria via LeMat-Bulk).

Computed properties:
As for the spin magnetization: 0.00 Bohr magnetons per cell.

Unit cell a=5.5688 b=5.5688 c=5.5688 alpha=90.00 beta=90.00 gamma=90.00
With the nearest neighbours (Å) after each atom.
Fractional coordinates of all 5 atoms:
Pb  0.5000  0.5000  0.5000  12 Bi 3.94
Ge  0.0000  0.0000  0.0000  6 Bi 2.78
Bi  0.0000  0.5000  0.0000  2 Ge 2.78
Bi  0.0000  0.0000  0.5000  2 Ge 2.78
Bi  0.5000  0.0000  0.0000  2 Ge 2.78

Which structure wins on stability? two wins.